Record 1
A plane-wave DFT calculation with PBE was carried out for a geometry-optimized Ba6Au2I3N structure.

abc: 8.0595 8.0595 8.9132
angles: 98.73 98.73 119.87
Closest atoms and distances in Å follow each position.
Sites, in units of the cell vectors:
Ba 0.0638 0.3554 0.1920  1 N 2.86
Ba 0.3554 0.0638 0.1920  1 N 2.86
Ba 0.9362 0.6446 0.8080  1 N 2.86
Ba 0.7738 0.7738 0.1948  1 N 2.88
Ba 0.2262 0.2262 0.8052  1 N 2.88
Ba 0.6446 0.9362 0.8080  1 N 2.86
Au 0.6658 0.3342 0.0000  6 Ba 3.31
Au 0.3342 0.6658 0.0000  6 Ba 3.31
I 0.1718 0.8282 0.5000  6 Ba 3.65-3.95
I 0.8282 0.1718 0.5000  6 Ba 3.65-3.95
I 0.5000 0.5000 0.5000  6 Ba 3.64-3.99
N 0.0000 0.0000 0.0000  6 Ba 2.86-2.88

Crystal system   monoclinic

---

Record 2
A plane-wave DFT calculation with PBE was carried out for a geometry-optimized Ba4AuI2N structure.

abc: 4.5347 7.9903 8.8284
angles: 106.48 90.00 90.00
Closest atoms and distances in Å follow each position.
Sites, in units of the cell vectors:
N 0.5000 0.5000 0.0000  6 Ba 2.74-3.01
Ba 0.0000 0.2908 0.8149  2 N 3.01, 1 Au 3.20
Ba 0.5000 0.2814 0.1892  1 N 2.74
Ba 0.5000 0.7186 0.8108  1 N 2.74
Ba 0.0000 0.7092 0.1851  2 N 3.01, 1 Au 3.20
Au 0.0000 0.0000 0.0000  6 Ba 3.20-3.29
I 0.0000 0.5000 0.5000  6 Ba 3.61-3.63
I 0.5000 0.0000 0.5000  6 Ba 3.82-4.01

Crystal system   monoclinic

---

Record 3
A plane-wave DFT calculation with PBE was carried out for a geometry-optimized Ba8Au3I3N structure.

abc: 9.3733 9.3859 10.3586
angles: 117.02 89.99 119.96
Closest atoms and distances in Å follow each position.
Sites, in units of the cell vectors:
Ba 0.2065 0.4129 0.6821  1 N 2.86
Ba 0.2652 0.5303 0.2952  3 Au 3.25-3.26
Ba 0.7935 0.5871 0.3179  1 N 2.86
Ba 0.7937 0.0236 0.3179  1 N 2.86
Ba 0.2299 0.0236 0.3179  1 N 2.86
Ba 0.2063 0.9764 0.6821  1 N 2.86
Ba 0.7701 0.9764 0.6821  1 N 2.86
Ba 0.7348 0.4697 0.7048  3 Au 3.25-3.26
I 0.0000 0.0000 0.0000  6 Ba 3.76-3.79
I 0.0000 0.5000 0.0000  6 Ba 3.76-3.79
I 0.5000 0.5000 0.0000  6 Ba 3.76-3.79
Au 0.0000 0.5000 0.5000  6 Ba 3.26-3.32
Au 0.5000 0.5000 0.5000  6 Ba 3.26-3.32
Au 0.5000 0.0000 0.5000  6 Ba 3.25-3.31
N 0.0000 0.0000 0.5000  6 Ba 2.86

Crystal system   monoclinic

---

Record 4
A plane-wave DFT calculation with PBE was carried out for a geometry-optimized Ba4NiAuI2 structure.

abc: 4.6503 8.0804 9.2055
angles: 106.87 90.00 90.00
Closest atoms and distances in Å follow each position.
Sites, in units of the cell vectors:
Ni 0.5000 0.5000 0.0000  6 Ba 3.16-3.19
Au 0.0000 0.0000 0.0000  6 Ba 3.29-3.30
Ba 0.5000 0.2474 0.2059  1 Ni 3.16, 2 Au 3.29
Ba 0.0000 0.2766 0.7981  2 Ni 3.19, 1 Au 3.30
Ba 0.5000 0.7526 0.7941  1 Ni 3.16, 2 Au 3.29
Ba 0.0000 0.7234 0.2019  2 Ni 3.19, 1 Au 3.30
I 0.0000 0.5000 0.5000  6 Ba 3.70
I 0.5000 0.0000 0.5000  6 Ba 3.79-3.80

Crystal system   monoclinic

---

Record 5
A plane-wave DFT calculation with PBE was carried out for a geometry-optimized Ba8NiAu3I4 structure.

abc: 9.4163 10.3767 9.4160
angles: 116.99 120.00 90.00
Closest atoms and distances in Å follow each position.
Sites, in units of the cell vectors:
Ba 0.7365 0.7095 0.4731  3 Au 3.29
Ba 0.7467 0.7047 0.9757  1 Ni 3.19, 2 Au 3.31
Ba 0.7710 0.2953 0.0243  1 Ni 3.19, 2 Au 3.31
Ba 0.2635 0.2905 0.5269  3 Au 3.29
Ba 0.2533 0.2953 0.0243  1 Ni 3.19, 2 Au 3.31
Ba 0.7709 0.2953 0.5417  1 Ni 3.19, 2 Au 3.31
Ba 0.2291 0.7047 0.4582  1 Ni 3.19, 2 Au 3.31
Ba 0.2290 0.7047 0.9757  1 Ni 3.19, 2 Au 3.31
Au 0.0000 0.5000 0.5000  6 Ba 3.29-3.31
Au 0.5000 0.5000 0.5000  6 Ba 3.29-3.31
Au 0.5000 0.5000 0.0000  6 Ba 3.29-3.31
I 0.0000 0.0000 0.5000  6 Ba 3.73-3.74
I 0.5000 0.0000 0.0000  6 Ba 3.84
I 0.5000 0.0000 0.5000  6 Ba 3.73-3.74
I 0.0000 0.0000 0.0000  6 Ba 3.74
Ni 0.0000 0.5000 0.0000  6 Ba 3.19

Crystal system   trigonal

---

Record 6
A plane-wave DFT calculation with PBE was carried out for a geometry-optimized BaAuI2O structure.

abc: 5.9711 5.9711 4.2266
angles: 90.00 90.00 90.00
Closest atoms and distances in Å follow each position.
Sites, in units of the cell vectors:
I 0.5000 0.0000 0.0000  2 Au 2.99
I 0.0000 0.5000 0.0000  2 Au 2.99
O 0.0000 0.0000 0.5000  2 Au 2.11
Ba 0.5000 0.5000 0.5000  8 I 3.66
Au 0.0000 0.0000 0.0000  2 O 2.11

Crystal system   tetragonal
Offset from the most stable computed form   0.0 meV per atom

---

Record 7
A plane-wave DFT calculation with PBE was carried out for a geometry-optimized BaAuI2O structure.

abc: 6.8207 6.8207 4.4734
angles: 90.00 90.00 90.00
Closest atoms and distances in Å follow each position.
Sites, in units of the cell vectors:
I 0.0000 0.5000 0.0000  2 Ba 3.41
I 0.5000 0.0000 0.0000  2 Ba 3.41
O 0.0000 0.0000 0.5000  2 Ba 2.24
Au 0.5000 0.5000 0.5000  8 I 4.08, 2 Au 4.47
Ba 0.0000 0.0000 0.0000  2 O 2.24

Crystal system   tetragonal
Offset from the most stable computed form   448.3 meV per atom

---

Record 8
A plane-wave DFT calculation with PBE was carried out for a geometry-optimized Ba2AuIO6 structure.

abc: 5.8622 6.3231 6.1497
angles: 63.66 68.30 102.95
Closest atoms and distances in Å follow each position.
Sites, in units of the cell vectors:
O 0.1717 0.3275 0.9974  1 I 2.00, 1 Au 2.08
O 0.8283 0.6725 0.0026  1 I 2.00, 1 Au 2.08
O 0.6862 0.7614 0.5974  1 I 1.90
O 0.3138 0.2386 0.4026  1 I 1.90
O 0.3315 0.7046 0.0711  1 I 1.90
O 0.6685 0.2954 0.9289  1 I 1.90
Ba 0.2366 0.7496 0.5129  6 O 2.72-2.96
Ba 0.7634 0.2504 0.4871  6 O 2.72-2.96
Au 0.0000 0.0000 0.0000  2 O 2.08
I 0.5000 0.5000 0.0000  6 O 1.90-2.00

Crystal system   triclinic

---

Record 9
A plane-wave DFT calculation with PBE was carried out for a geometry-optimized Ba8PAu3I3 structure.

abc: 9.6053 9.6151 10.2603
angles: 118.00 90.00 119.99
Closest atoms and distances in Å follow each position.
Sites, in units of the cell vectors:
I 0.5000 0.5000 0.0000  6 Ba 3.74-3.75
I 0.0000 0.0000 0.0000  6 Ba 3.75
I 0.0000 0.5000 0.0000  6 Ba 3.74-3.75
Ba 0.2292 0.9740 0.7030  1 P 3.21, 2 Au 3.32
Ba 0.7708 0.0260 0.2970  1 P 3.21, 2 Au 3.32
Ba 0.2552 0.0259 0.2969  1 P 3.21, 2 Au 3.32
Ba 0.7358 0.4716 0.7072  3 Au 3.30
Ba 0.2293 0.4586 0.7031  1 P 3.21, 2 Au 3.32
Ba 0.2642 0.5284 0.2928  3 Au 3.30
Ba 0.7448 0.9741 0.7031  1 P 3.21, 2 Au 3.32
Ba 0.7707 0.5414 0.2969  1 P 3.21, 2 Au 3.32
P 0.0000 0.0000 0.5000  6 Ba 3.21
Au 0.5000 0.0000 0.5000  6 Ba 3.30-3.32
Au 0.0000 0.5000 0.5000  6 Ba 3.30-3.32
Au 0.5000 0.5000 0.5000  6 Ba 3.30-3.32

Crystal system   monoclinic

---

Record 10
A plane-wave DFT calculation with PBE was carried out for a geometry-optimized Ba8PAu3I4 structure.

abc: 9.5378 10.3042 9.5380
angles: 117.59 120.00 90.00
Closest atoms and distances in Å follow each position.
Sites, in units of the cell vectors:
Ba 0.2558 0.2951 0.0253  1 P 3.22, 2 Au 3.31
Ba 0.7364 0.7089 0.4728  3 Au 3.30
Ba 0.2306 0.7050 0.4612  1 P 3.22, 2 Au 3.31
Ba 0.7695 0.2951 0.0253  1 P 3.22, 2 Au 3.31
Ba 0.2305 0.7049 0.9747  1 P 3.22, 2 Au 3.31
Ba 0.7694 0.2950 0.5388  1 P 3.22, 2 Au 3.31
Ba 0.2636 0.2911 0.5272  3 Au 3.30
Ba 0.7442 0.7049 0.9747  1 P 3.22, 2 Au 3.31
I 0.5000 0.0000 0.5000  6 Ba 3.74
I 0.5000 0.0000 0.0000  6 Ba 3.82
I 0.0000 0.0000 0.5000  6 Ba 3.74
I 0.0000 0.0000 0.0000  6 Ba 3.74
Au 0.5000 0.5000 0.5000  6 Ba 3.30-3.31
Au 0.0000 0.5000 0.5000  6 Ba 3.30-3.31
Au 0.5000 0.5000 0.0000  6 Ba 3.30-3.31
P 0.0000 0.5000 0.0000  6 Ba 3.22

Crystal system   trigonal

---

Record 11
A plane-wave DFT calculation with PBE was carried out for a geometry-optimized Ba6PAu2I3 structure.

abc: 8.2993 8.2993 9.0387
angles: 98.82 98.82 120.01
Closest atoms and distances in Å follow each position.
Sites, in units of the cell vectors:
Ba 0.6111 0.9316 0.7946  1 P 3.19, 2 Au 3.33
Ba 0.9316 0.6111 0.7946  1 P 3.19, 2 Au 3.33
Ba 0.0684 0.3889 0.2054  1 P 3.19, 2 Au 3.33
Ba 0.3889 0.0684 0.2054  1 P 3.19, 2 Au 3.33
Ba 0.2515 0.2515 0.7931  1 P 3.20, 2 Au 3.33
Ba 0.7485 0.7485 0.2069  1 P 3.20, 2 Au 3.33
Au 0.6664 0.3336 0.0000  6 Ba 3.33
Au 0.3336 0.6664 0.0000  6 Ba 3.33
I 0.1669 0.8331 0.5000  6 Ba 3.71-3.83
I 0.8331 0.1669 0.5000  6 Ba 3.71-3.83
I 0.5000 0.5000 0.5000  6 Ba 3.71-3.82
P 0.0000 0.0000 0.0000  6 Ba 3.19-3.20

Crystal system   monoclinic

---

Record 12
A plane-wave DFT calculation with PBE was carried out for a geometry-optimized Ba8P3AuI4 structure.

abc: 9.5696 10.0646 9.5703
angles: 118.38 120.00 90.00
Closest atoms and distances in Å follow each position.
Sites, in units of the cell vectors:
Ba 0.7334 0.7001 0.4667  3 P 3.24
Ba 0.7610 0.2965 0.0355  2 P 3.22, 1 Au 3.31
Ba 0.7609 0.2963 0.5217  2 P 3.22, 1 Au 3.32
Ba 0.2391 0.7037 0.4783  2 P 3.22, 1 Au 3.32
Ba 0.2390 0.7035 0.9645  2 P 3.22, 1 Au 3.31
Ba 0.2666 0.2999 0.5333  3 P 3.24
Ba 0.2745 0.2965 0.0355  2 P 3.22, 1 Au 3.31
Ba 0.7255 0.7035 0.9645  2 P 3.22, 1 Au 3.31
P 0.5000 0.5000 0.0000  6 Ba 3.22-3.24
P 0.0000 0.5000 0.5000  6 Ba 3.22-3.24
P 0.5000 0.5000 0.5000  6 Ba 3.22-3.24
Au 0.0000 0.5000 0.0000  6 Ba 3.31-3.32
I 0.5000 0.0000 0.0000  6 Ba 3.67
I 0.0000 0.0000 0.0000  6 Ba 3.74-3.75
I 0.0000 0.0000 0.5000  6 Ba 3.74-3.75
I 0.5000 0.0000 0.5000  6 Ba 3.74-3.75

Crystal system   trigonal

---

no.,uncorrected energy (Ry/atom),ΔE_f (raw) (eV per atom),volume (A^3/atom)
1,-0.264,-1.008,39.87
2,-0.276,-0.962,38.34
3,-0.252,-0.880,44.82
4,-0.245,-0.846,41.38
5,-0.241,-0.960,42.41
6,-0.246,-0.697,30.14
7,-0.213,-0.249,41.62
8,-0.383,-1.369,16.79
9,-0.246,-0.990,45.98
10,-0.252,-1.125,42.87
11,-0.257,-1.146,42.76
12,-0.285,-1.305,41.71